DFT (GGA-PBEsol) results for a relaxed structure of Rh2WAu.

Computed properties:
- SG: No. 99
- DFT formation energy: 0.11 eV per atom
- Spin magnetization: 0.00 μB per formula unit
- Energy relative to the lowest polymorph listed for this composition: 210 meV/atom

```
Rh2WAu
1.0
2.743 0.000 0.000
0.000 2.743 0.000
0.000 0.000 7.851
Au Rh W
1 2 1
direct
0.500 0.500 0.751
0.500 0.500 0.252
0.000 0.000 0.010
0.000 0.000 0.487
```